Record 1
This record from Alexandria describes a relaxed Li3Ge4Rh2 crystal. The functional is PBE-GGA.

Structure (POSCAR):
```
Li3Ge4Rh2
1.0
5.011 -2.114 0.000
5.011 2.114 0.000
-4.451 0.000 6.504
Li Ge Rh
3 4 2
Cartesian
0.000 0.000 0.000
1.947 0.000 2.086
3.624 0.000 4.417
-1.080 0.000 2.661
-1.096 0.000 6.364
6.667 0.000 0.140
6.650 0.000 3.843
0.651 0.000 4.545
4.920 0.000 1.959
```

Values from the calculation:
Final energy: -0.352 Ry per atom
Spin magnetization: 0.0 μB per formula unit



Record 2
This record from Alexandria describes a relaxed DyTmAu6 crystal. The functional is PBE-GGA.

Structure (POSCAR):
```
DyTmAu6
1.0
4.594 -2.242 0.000
4.594 2.242 0.000
-4.336 0.000 7.812
Dy Tm Au
1 1 6
Cartesian
0.000 0.000 0.000
-2.168 0.000 3.906
-1.485 0.000 6.814
0.671 0.000 2.956
3.490 0.000 1.955
1.361 0.000 5.857
4.180 0.000 4.856
6.336 0.000 0.998
```

Values from the calculation:
Final energy: -0.314 Ry per atom
Spin magnetization: 0.0 μB per formula unit



Record 3
This record from Alexandria describes a relaxed Ca3ZnIn crystal. The functional is PBE-GGA.

Structure (POSCAR):
```
Ca3ZnIn
1.0
2.695 -10.307 0.000
2.695 10.307 0.000
0.000 0.000 5.389
Ca Zn In
6 2 2
Cartesian
2.695 8.835 4.042
2.695 5.146 4.042
2.695 1.455 4.042
2.695 -1.455 1.347
2.695 -5.146 1.347
2.695 -8.835 1.347
2.695 7.064 1.347
2.695 -7.064 4.042
2.695 3.258 1.347
2.695 -3.258 4.042
```

Values from the calculation:
Offset from the most stable computed form: 0 meV/atom
Final energy: -0.169 Ry per atom
Spin magnetization: 0.0 μB per formula unit



Record 4
This record from Alexandria describes a relaxed TiNi2BrCl crystal. The functional is PBE-GGA.

Structure (POSCAR):
```
TiNi2BrCl
1.0
4.067 0.000 0.000
0.000 4.067 0.000
0.000 0.000 6.391
Ti Ni Br Cl
1 2 1 1
Cartesian
0.000 0.000 0.000
0.000 2.034 3.196
2.034 0.000 3.196
2.034 2.034 0.000
2.034 2.034 3.196
```

Values from the calculation:
Final energy: -0.303 Ry per atom
Spin magnetization: 2.0 μB per formula unit



Record 5
This record from Alexandria describes a relaxed Ho3ErCo2 crystal. The functional is PBE-GGA.

Structure (POSCAR):
```
Ho3ErCo2
1.0
-3.246 6.552 3.433
3.246 -6.552 3.433
3.246 6.552 -3.433
Ho Er Co
6 2 4
Cartesian
3.246 -3.073 1.717
0.000 0.000 1.717
3.246 3.073 1.717
0.000 3.479 1.717
0.000 0.000 5.150
0.000 9.625 1.717
3.246 0.000 0.000
0.000 6.552 0.000
1.430 1.780 0.000
1.430 -1.780 3.433
1.817 8.332 0.000
1.817 4.772 3.433
```

Values from the calculation:
Offset from the most stable computed form: 91 meV/atom
Final energy: -0.404 Ry per atom
Spin magnetization: 0.0 μB per formula unit



Record 6
This record from Alexandria describes a relaxed Cs3KP crystal. The functional is PBE-GGA.

Structure (POSCAR):
```
Cs3KP
1.0
7.120 0.000 0.000
0.000 7.120 0.000
0.000 0.000 7.120
Cs K P
3 1 1
Cartesian
0.000 0.000 3.560
0.000 3.560 0.000
3.560 0.000 0.000
3.560 3.560 3.560
0.000 0.000 0.000
```

Values from the calculation:
Offset from the most stable computed form: 0 meV/atom
Final energy: -0.132 Ry per atom
Spin magnetization: 0.0 μB per formula unit